Below is SrGaO2F after structural relaxation, with properties calculated at the PBE level.

Cell lengths 4.7178, 4.7178, 4.6889 Å; angles 90.00, 90.00, 90.00 degrees
Fractional positions:
Sr 0.0000 0.0000 0.0000
Ga 0.5000 0.5000 0.5000
O 0.0000 0.5000 0.0000
O 0.5000 0.0000 0.0000
F 0.0000 0.0000 0.5000

Results
Total energy   -4.438 eV/atom
Space group   P4/mmm, No. 123
DOS(E_F)   3.82 states/eV/cell

=====

Below is SrGaO2F after structural relaxation, with properties calculated at the PBE level.

Cell lengths 3.9134, 3.9134, 4.0521 Å; angles 90.00, 90.00, 90.00 degrees
Fractional positions:
Sr 0.0000 0.0000 0.0000
Ga 0.5000 0.5000 0.5000
O 0.0000 0.5000 0.5000
O 0.5000 0.0000 0.5000
F 0.5000 0.5000 0.0000

Results
Total energy   -5.807 eV/atom
Space group   P4/mmm, No. 123

=====

Below is Sr3GaO4F after structural relaxation, with properties calculated at the PBE level.

Cell lengths 7.5147, 7.5147, 7.5147 Å; angles 125.79, 125.79, 80.24 degrees
Fractional positions:
Sr 0.1676 0.6676 0.8351
Sr 0.2500 0.2500 0.0000
Sr 0.3324 0.1676 0.5000
Sr 0.6676 0.8324 0.5000
Sr 0.7500 0.7500 0.0000
Sr 0.8324 0.3324 0.1649
Ga 0.2500 0.7500 0.5000
Ga 0.7500 0.2500 0.5000
O 0.0034 0.2084 0.5000
O 0.2084 0.7084 0.2050
O 0.2916 0.4966 0.5000
O 0.4966 0.9966 0.2050
O 0.5034 0.0034 0.7950
O 0.7084 0.5034 0.5000
O 0.7916 0.2916 0.7950
O 0.9966 0.7916 0.5000
F 0.0000 0.0000 0.0000
F 0.5000 0.5000 0.0000

Results
Total energy   -6.067 eV/atom
Space group   I4/mcm, No. 140
DOS(E_F)   0.00 states/eV/cell